Pr2SmTm3Te6 | PBE-GGA | relaxed

Results
mass density	7816	kg/m³
total DFT energy (no corrections)	-62.2	eV for the cell shown
size of the total moment	0.00	μB/cell
SG	C2/m (12)

POSCAR file:
```
Pr2SmTm3Te6
1.0
9.7114 -2.1603 0.0000
9.7114 2.1603 0.0000
-2.4939 0.0000 8.6309
Pr Sm Tm Te
2 1 3 6
direct
0.1676 0.1676 0.3349
0.8324 0.8324 0.6651
0.5000 0.5000 0.0000
0.1689 0.1689 0.8345
0.5000 0.5000 0.5000
0.8311 0.8311 0.1655
0.0049 0.0049 0.7438
0.3315 0.3315 0.9286
0.3382 0.3382 0.4055
0.6618 0.6618 0.5945
0.6685 0.6685 0.0714
0.9951 0.9951 0.2562
```


BeSnMo3 | PBE-GGA | relaxed

Results
mass density	5932	kg/m³
total DFT energy (no corrections)	-27.6	eV for the cell shown
size of the total moment	0.00	μB/cell
offset from the most stable computed form	1942.4	meV/atom
calculated formation energy	12.67	eV per formula unit
SG	Pm-3m (221)

POSCAR file:
```
BeSnMo3
1.0
4.8815 0.0000 0.0000
0.0000 4.8815 0.0000
0.0000 0.0000 4.8815
Be Sn Mo
1 1 3
direct
0.0000 0.0000 0.0000
0.5000 0.5000 0.5000
0.0000 0.5000 0.5000
0.5000 0.0000 0.5000
0.5000 0.5000 0.0000
```


NaBPb | PBE-GGA | relaxed

Results
mass density	5895	kg/m³
total DFT energy (no corrections)	-19.8	eV for the cell shown
size of the total moment	0.00	μB/cell
calculated formation energy	1.81	eV per formula unit
SG	P6_3/mmc (194)

POSCAR file:
```
NaBPb
1.0
4.0133 0.0000 0.0000
-2.0067 3.4756 0.0000
0.0000 0.0000 9.7334
Na B Pb
2 2 2
direct
0.0000 0.0000 0.0000
0.0000 0.0000 0.5000
0.3333 0.6667 0.2500
0.6667 0.3333 0.7500
0.3333 0.6667 0.7500
0.6667 0.3333 0.2500
```


LiTmSc | PBE-GGA | relaxed

Results
mass density	4871	kg/m³
total DFT energy (no corrections)	-25.0	eV for the cell shown
size of the total moment	0.00	μB/cell
offset from the most stable computed form	0.0	meV/atom
calculated formation energy	0.22	eV per formula unit
SG	P4/nmm (129)

POSCAR file:
```
LiTmSc
1.0
3.7180 0.0000 0.0000
0.0000 3.7180 0.0000
0.0000 0.0000 10.8926
Li Tm Sc
2 2 2
direct
0.2500 0.2500 0.0647
0.7500 0.7500 0.9353
0.2500 0.2500 0.7528
0.7500 0.7500 0.2472
0.2500 0.2500 0.4264
0.7500 0.7500 0.5736
```


LaAlO | PBE-GGA | relaxed

Results
mass density	5286	kg/m³
total DFT energy (no corrections)	-38.3	eV for the cell shown
size of the total moment	0.00	μB/cell
SG	P4/nmm (129)

POSCAR file:
```
LaAlO
1.0
3.4761 0.0000 0.0000
0.0000 3.4761 0.0000
0.0000 0.0000 9.4568
La Al O
2 2 2
direct
0.2500 0.2500 0.1615
0.7500 0.7500 0.8385
0.2500 0.2500 0.5624
0.7500 0.7500 0.4376
0.2500 0.2500 0.9041
0.7500 0.7500 0.0959
```